Arrangement a

Computed, not measured: a relaxed KMg2Cu crystal at the GGA-PBE level of DFT.

Unit cell a=6.260 b=6.260 c=3.092 alpha=90.00 beta=90.00 gamma=120.59
Element x y z (fractional)
Cu: 0.500 0.000 0.500
K: 0.000 0.500 0.500
Mg: 0.000 0.000 0.000
Mg: 0.500 0.500 0.000

Calculated values
Total magnetization in μB/f.u.: 0.000
DOS at the Fermi energy in states/eV/cell: 1.47
SG: Cmmm, No. 65

---

Arrangement b

Computed, not measured: a relaxed KMg2Cu crystal at the GGA-PBE level of DFT.

Unit cell a=5.234 b=5.234 c=5.234 alpha=118.91 beta=118.91 gamma=91.89
Element x y z (fractional)
Cu: 0.500 0.500 0.000
K: 0.750 0.250 0.500
Mg: 0.000 0.000 0.000
Mg: 0.250 0.750 0.500

Calculated values
Total magnetization in μB/f.u.: 0.000
DOS at the Fermi energy in states/eV/cell: 2.01
SG: I-4m2, No. 119

---

Arrangement c

Computed, not measured: a relaxed KMg2Cu crystal at the GGA-PBE level of DFT.

Unit cell a=3.420 b=3.257 c=9.811 alpha=70.21 beta=90.00 gamma=90.00
Element x y z (fractional)
Cu: 0.500 0.250 0.250
K: 0.500 0.750 0.750
Mg: 0.000 0.914 0.088
Mg: 0.000 0.586 0.412

Calculated values
Total magnetization in μB/f.u.: 0.000
DOS at the Fermi energy in states/eV/cell: 1.96
SG: P2/m, No. 10

---

Quick one: least stable of them? arrangement a

---

Arrangement a

Computed, not measured: a relaxed KMg2Cu crystal at the GGA-PBE level of DFT.

Unit cell a=5.178 b=5.178 c=5.178 alpha=60.00 beta=60.00 gamma=60.00
Element x y z (fractional)
K: 0.000 0.000 0.000
Mg: 0.250 0.250 0.250
Mg: 0.750 0.750 0.750
Cu: 0.500 0.500 0.500

Calculated values
Total magnetization in μB/f.u.: 0.000
DOS at the Fermi energy in states/eV/cell: 2.33
SG: Fm-3m, No. 225

---

Arrangement b

Computed, not measured: a relaxed KMg2Cu crystal at the GGA-PBE level of DFT.

Unit cell a=10.186 b=10.186 c=10.186 alpha=19.90 beta=19.90 gamma=19.90
Element x y z (fractional)
Cu: 0.515 0.515 0.515
K: 0.762 0.762 0.762
Mg: 0.986 0.986 0.986
Mg: 0.237 0.237 0.237

Calculated values
Total magnetization in μB/f.u.: 0.000
DOS at the Fermi energy in states/eV/cell: 2.54
SG: R3m, No. 160

---

Quick one: least stable of them? arrangement a

---

Arrangement a

Computed, not measured: a relaxed KMgCu2 crystal at the GGA-PBE level of DFT.

Unit cell a=5.336 b=5.336 c=5.336 alpha=131.10 beta=131.10 gamma=71.66
Element x y z (fractional)
Cu: 0.000 0.000 0.000
Cu: 0.250 0.750 0.500
K: 0.500 0.500 0.000
Mg: 0.750 0.250 0.500

Calculated values
Total magnetization in μB/f.u.: 0.000
DOS at the Fermi energy in states/eV/cell: 1.40
SG: I-4m2, No. 119

---

Arrangement b

Computed, not measured: a relaxed KMgCu2 crystal at the GGA-PBE level of DFT.

Unit cell a=5.169 b=5.169 c=5.169 alpha=124.97 beta=112.56 gamma=92.48
Element x y z (fractional)
Cu: 0.076 0.076 0.000
Cu: 0.424 0.424 0.000
K: 0.750 0.250 0.500
Mg: 0.250 0.750 0.500

Calculated values
Total magnetization in μB/f.u.: 0.000
DOS at the Fermi energy in states/eV/cell: 1.30
SG: Immm, No. 71

---

Quick one: least stable of them? arrangement a

---

Arrangement a

Computed, not measured: a relaxed KMgCu2 crystal at the GGA-PBE level of DFT.

Unit cell a=7.989 b=5.235 c=3.017 alpha=90.10 beta=67.67 gamma=130.81
Element x y z (fractional)
Cu: 0.000 0.000 0.000
Cu: 0.500 0.000 0.500
K: 0.000 0.500 0.500
Mg: 0.500 0.500 0.000

Calculated values
Total magnetization in μB/f.u.: 0.000
DOS at the Fermi energy in states/eV/cell: 1.02
SG: C2/m, No. 12

---

Arrangement b

Computed, not measured: a relaxed KMgCu2 crystal at the GGA-PBE level of DFT.

Unit cell a=4.920 b=4.920 c=4.920 alpha=60.00 beta=60.00 gamma=60.00
Element x y z (fractional)
Cu: 0.000 0.000 0.000
Cu: 0.250 0.250 0.250
K: 0.500 0.500 0.500
Mg: 0.750 0.750 0.750

Calculated values
Total magnetization in μB/f.u.: 0.000
DOS at the Fermi energy in states/eV/cell: 1.54
SG: F-43m, No. 216

---

Arrangement c

Computed, not measured: a relaxed KMgCu2 crystal at the GGA-PBE level of DFT.

Unit cell a=9.942 b=9.942 c=9.942 alpha=17.83 beta=17.83 gamma=17.83
Element x y z (fractional)
Cu: 0.011 0.011 0.011
Cu: 0.489 0.489 0.489
K: 0.250 0.250 0.250
Mg: 0.750 0.750 0.750

Calculated values
Total magnetization in μB/f.u.: 0.000
DOS at the Fermi energy in states/eV/cell: 0.81
SG: R-3m, No. 166

---

Quick one: least stable of them? arrangement b

---

Arrangement a

Computed, not measured: a relaxed KMgCu2 crystal at the GGA-PBE level of DFT.

Unit cell a=3.125 b=3.466 c=8.231 alpha=90.00 beta=90.00 gamma=90.00
Element x y z (fractional)
Cu: 0.000 0.000 0.046
Cu: 0.500 0.500 0.155
K: 0.000 0.000 0.458
Mg: 0.500 0.500 0.841

Calculated values
Total magnetization in μB/f.u.: 0.000
DOS at the Fermi energy in states/eV/cell: 1.63
SG: Pmm2, No. 25

---

Arrangement b

Computed, not measured: a relaxed KMgCu2 crystal at the GGA-PBE level of DFT.

Unit cell a=4.179 b=3.343 c=7.063 alpha=76.39 beta=90.00 gamma=90.00
Element x y z (fractional)
Cu: 0.000 0.196 0.987
Cu: 0.500 0.101 0.172
K: 0.000 0.455 0.463
Mg: 0.500 0.748 0.879

Calculated values
Total magnetization in μB/f.u.: 0.000
DOS at the Fermi energy in states/eV/cell: 1.26
SG: Pm, No. 6

---

Arrangement c

Computed, not measured: a relaxed KMgCu2 crystal at the GGA-PBE level of DFT.

Unit cell a=4.954 b=4.954 c=9.761 alpha=75.30 beta=75.30 gamma=90.00
Element x y z (fractional)
K: 0.000 0.000 0.000
K: 0.750 0.250 0.500
Mg: 0.500 0.500 0.000
Mg: 0.250 0.750 0.500
Cu: 0.375 0.125 0.250
Cu: 0.375 0.625 0.250
Cu: 0.375 0.625 0.750
Cu: 0.875 0.625 0.750

Calculated values
Total magnetization in μB/f.u.: 0.000
DOS at the Fermi energy in states/eV/cell: 3.71
SG: I4_1/amd, No. 141

---

Arrangement d

Computed, not measured: a relaxed KMgCu2 crystal at the GGA-PBE level of DFT.

Unit cell a=4.797 b=4.797 c=6.946 alpha=82.49 beta=82.49 gamma=37.11
Element x y z (fractional)
Cu: 0.983 0.983 0.116
Cu: 0.517 0.517 0.384
K: 0.750 0.750 0.750
Mg: 0.250 0.250 0.250

Calculated values
Total magnetization in μB/f.u.: 0.000
DOS at the Fermi energy in states/eV/cell: 0.95
SG: C2/m, No. 12

---

Quick one: least stable of them? arrangement c

---

Arrangement a

Computed, not measured: a relaxed KMgCu2 crystal at the GGA-PBE level of DFT.

Unit cell a=3.742 b=3.190 c=8.102 alpha=66.63 beta=90.00 gamma=90.00
Element x y z (fractional)
Cu: 0.000 0.084 0.915
Cu: 0.000 0.416 0.585
K: 0.500 0.250 0.250
Mg: 0.500 0.750 0.750

Calculated values
Total magnetization in μB/f.u.: 0.000
DOS at the Fermi energy in states/eV/cell: 1.50
SG: P2/m, No. 10

---

Arrangement b

Computed, not measured: a relaxed KMgCu2 crystal at the GGA-PBE level of DFT.

Unit cell a=5.121 b=5.121 c=6.576 alpha=78.16 beta=78.16 gamma=34.75
Element x y z (fractional)
Cu: 0.026 0.026 0.037
Cu: 0.695 0.695 0.835
K: 0.482 0.482 0.529
Mg: 0.297 0.297 0.099

Calculated values
Total magnetization in μB/f.u.: 0.000
DOS at the Fermi energy in states/eV/cell: 1.49
SG: Cm, No. 8

---

Quick one: least stable of them? arrangement b